Record 1
# Nd2PO PBE-GGA relaxed
# Uncorrected energy ... -6.85 eV/atom
# Excess energy over the best structure of this formula in the dataset ... 0.192 eV/atom
# Formation energy without anion corrections ... -1875.0 meV per atom
# DOS at the Fermi energy ... 0.567 states/eV/atom
# M_tot ... 0.00 μB per formula unit
data_Nd2PO
_space_group_name_H-M_alt 'R 3 m'
_space_group_IT_number 160
_space_group_name_Hall 'R 3 -2"'
_cell_length_a 3.7940
_cell_length_b 3.7940
_cell_length_c 20.2847
_cell_angle_alpha 90.00
_cell_angle_beta 90.00
_cell_angle_gamma 120.00
loop_
_atom_site_label
_atom_site_type_symbol
_atom_site_fract_x
_atom_site_fract_y
_atom_site_fract_z
_atom_site_occupancy
Nd1 Nd 0.0000 0.0000 0.0000 1
Nd2 Nd 0.0000 0.0000 0.1605 1
P1 P 0.0000 0.0000 0.5806 1
O1 O 0.0000 0.0000 0.7524 1


Record 2
# Nd2PO PBE-GGA relaxed
# Uncorrected energy ... -7.04 eV/atom
# Excess energy over the best structure of this formula in the dataset ... 0.000 eV/atom
# Formation energy without anion corrections ... -2067.1 meV per atom
# DOS at the Fermi energy ... 0.412 states/eV/atom
# M_tot ... 0.00 μB per formula unit
data_Nd2PO
_space_group_name_H-M_alt 'R -3 m'
_space_group_IT_number 166
_space_group_name_Hall '-R 3 2"'
_cell_length_a 3.8991
_cell_length_b 3.8991
_cell_length_c 18.7935
_cell_angle_alpha 90.00
_cell_angle_beta 90.00
_cell_angle_gamma 120.00
loop_
_atom_site_label
_atom_site_type_symbol
_atom_site_fract_x
_atom_site_fract_y
_atom_site_fract_z
_atom_site_occupancy
Nd1 Nd 0.0000 0.0000 0.2417 1
P1 P 0.0000 0.0000 0.0000 1
O1 O 0.0000 0.0000 0.5000 1


Record 3
# NdP5O14 PBE-GGA relaxed
# Uncorrected energy ... -7.40 eV/atom
# Formation energy without anion corrections ... -2333.8 meV per atom
# DOS at the Fermi energy ... 0.000 states/eV/atom
# M_tot ... 0.00 μB per formula unit
data_NdP5O14
_space_group_name_H-M_alt 'P m n a'
_space_group_IT_number 53
_space_group_name_Hall '-P 2ac 2'
_cell_length_a 13.196
_cell_length_b 8.914
_cell_length_c 9.166
_cell_angle_alpha 90.00
_cell_angle_beta 90.00
_cell_angle_gamma 90.00
loop_
_atom_site_label
_atom_site_type_symbol
_atom_site_fract_x
_atom_site_fract_y
_atom_site_fract_z
_atom_site_occupancy
Nd1 Nd 0.000 0.222 0.188 1
P1 P 0.000 0.184 0.754 1
P2 P 0.164 0.263 0.548 1
P3 P 0.175 0.500 0.000 1
P4 P 0.203 0.000 0.000 1
O1 O 0.000 0.031 0.689 1
O2 O 0.000 0.213 0.913 1
O3 O 0.094 0.284 0.686 1
O4 O 0.113 0.272 0.405 1
O5 O 0.120 0.419 0.118 1
O6 O 0.150 0.087 0.115 1
O7 O 0.218 0.109 0.585 1
O8 O 0.245 0.388 0.582 1